No. 1
Density functional theory data (PBE) for a relaxed Ca3Pr2Cd3 crystal.

Lattice parameters (Å, degrees): 3.802 5.560 12.137 103.24 99.01 90.00
Element x y z (fractional)
1 Ca 0.381 0.381 0.762
2 Ca 0.619 0.619 0.238
3 Ca 0.500 0.000 0.000
4 Pr 0.268 0.768 0.536
5 Pr 0.732 0.232 0.464
6 Cd 0.883 0.883 0.766
7 Cd 0.000 0.500 0.000
8 Cd 0.117 0.117 0.234

Output
density: 4.98 Mg/m³
calculated formation energy: -245 meV per atom
spin magnetization: 0.00 μB/f.u.



No. 2
Density functional theory data (PBE) for a relaxed Dy4Bi2SbPb crystal.

Lattice parameters (Å, degrees): 4.406 7.699 7.754 70.95 90.00 90.00
Element x y z (fractional)
1 Dy 0.000 0.747 0.748
2 Dy 0.000 0.253 0.252
3 Dy 0.500 0.744 0.254
4 Dy 0.500 0.256 0.746
5 Bi 0.000 0.000 0.000
6 Bi 0.500 0.000 0.500
7 Sb 0.000 0.500 0.500
8 Pb 0.500 0.500 0.000

Output
density: 9.33 Mg/m³
E_form (uncorrected): -792 meV per atom
spin magnetization: 0.00 μB/f.u.



No. 3
Density functional theory data (PBE) for a relaxed PmSm8Tm4 crystal.

Lattice parameters (Å, degrees): 7.295 7.295 10.219 90.00 110.91 120.00
Element x y z (fractional)
1 Pm 0.000 0.500 0.500
2 Sm 0.567 0.784 0.351
3 Sm 0.433 0.216 0.649
4 Sm 0.498 0.249 0.296
5 Sm 0.953 0.202 0.704
6 Sm 0.502 0.751 0.704
7 Sm 0.953 0.751 0.704
8 Sm 0.047 0.249 0.296
9 Sm 0.047 0.798 0.296
10 Tm 0.000 0.000 0.000
11 Tm 0.000 0.500 0.000
12 Tm 0.500 0.500 0.000
13 Tm 0.500 0.000 0.000

Output
density: 7.83 Mg/m³
calculated formation energy: 189 meV per atom
spin magnetization: 0.00 μB/f.u.



No. 4
Density functional theory data (PBE) for a relaxed FeRe2Ir crystal.

Lattice parameters (Å, degrees): 4.335 4.335 4.335 60.00 60.00 60.00
Each line ends with the local moment (μB).
Element x y z (fractional)
1 Fe 0.500 0.500 0.500  2.57
2 Ir 0.750 0.750 0.750  0.17
3 Re 0.000 0.000 0.000  -0.25
4 Re 0.250 0.250 0.250  0.18

Output
density: 17.89 Mg/m³
calculated formation energy: 241 meV per atom
offset from the most stable computed form: 293 meV/atom
spin magnetization: 2.66 μB/f.u.



No. 5
Density functional theory data (PBE) for a relaxed MgAlHg crystal.

Lattice parameters (Å, degrees): 4.137 4.137 7.835 105.31 105.31 90.00
Element x y z (fractional)
1 Mg 0.333 0.333 0.666
2 Mg 0.667 0.667 0.334
3 Al 0.500 0.000 0.000
4 Al 0.000 0.500 0.000
5 Hg 0.861 0.861 0.722
6 Hg 0.139 0.139 0.278

Output
density: 6.73 Mg/m³
calculated formation energy: -65 meV per atom
spin magnetization: 0.00 μB/f.u.



No. 6
Density functional theory data (PBE) for a relaxed Er3Tm2ScS6 crystal.

Lattice parameters (Å, degrees): 3.825 7.684 8.556 103.14 102.92 90.00
Element x y z (fractional)
1 Er 0.500 0.500 0.000
2 Er 0.833 0.165 0.665
3 Er 0.167 0.835 0.335
4 Tm 0.834 0.668 0.669
5 Tm 0.166 0.332 0.331
6 Sc 0.500 0.000 0.000
7 S 0.337 0.917 0.673
8 S 0.667 0.582 0.335
9 S 0.663 0.083 0.327
10 S 0.000 0.242 0.999
11 S 0.000 0.758 0.001
12 S 0.333 0.418 0.665

Output
density: 7.50 Mg/m³
E_form (uncorrected): -1928 meV per atom
spin magnetization: 0.00 μB/f.u.